Material: Ho2BiO2
Method: DFT, PBE
State: relaxed

Cell: 7.2954 7.2954 7.2954 Å, 149.26 149.26 44.03°
Positions (direct):
O1 0.7500 0.2500 0.5000
Ho1 0.6688 0.6688 0.0000
Ho2 0.3312 0.3312 0.0000
O2 0.2500 0.7500 0.5000
Bi1 0.0000 0.0000 0.0000

## Properties
Uncorrected formation energy   -2709 meV per atom
VASP energy   -36.50 eV per cell
Space-group type   I4/mmm (139)